1.
Compound: Ho5ZrSb6
Source: Alexandria via LeMat-Bulk
Functional: PBE-GGA
Structure: relaxed

Geometry as extended XYZ:
```
12
Lattice="3.746 -6.484 0.000 3.746 6.484 0.000 -2.504 0.000 7.053" Properties=species:S:1:pos:R:3 pbc="T T T"
Ho 0.000 0.000 0.000
Ho 2.494 4.341 3.527
Ho 3.746 2.209 0.000
Ho 3.746 -2.209 0.000
Ho 2.494 -4.341 3.527
Zr 2.494 0.000 3.527
Sb 1.278 2.114 1.805
Sb 0.060 0.000 5.277
Sb 1.278 -2.114 1.805
Sb 3.709 2.114 5.248
Sb 4.928 0.000 1.777
Sb 3.709 -2.114 5.248
```

Values from the calculation:
ΔE_f (raw) = -1.023 eV/atom


2.
Compound: Ho4ZrSb5
Source: Alexandria via LeMat-Bulk
Functional: PBE-GGA
Structure: relaxed

Geometry as extended XYZ:
```
10
Lattice="-4.821 4.821 3.053 4.821 -4.821 3.053 4.821 4.821 -3.053" Properties=species:S:1:pos:R:3 pbc="T T T"
Ho 6.737 0.928 0.000
Ho 0.928 2.906 0.000
Ho 3.893 1.916 3.053
Ho -1.916 3.893 3.053
Zr 0.000 0.000 3.053
Sb 0.000 0.000 0.000
Sb 3.867 2.003 0.000
Sb 2.818 -0.954 3.053
Sb 2.003 5.775 0.000
Sb 0.954 2.818 3.053
```

Values from the calculation:
ΔE_f (raw) = -1.001 eV/atom
distance to the lowest polymorph of the same formula = 0.000 eV per atom


So what do the calculations give for spin magnetization? Going down the list: 0.0, 0.0 μB/f.u..